Record 1
## ZnIrOsPt2 (PBE)

Data for crystalline ZnIrOsPt2 at its relaxed geometry.

Summary:
**N(E_F)**: 5.9 states/eV/f.u.
**Energy of formation from the pure elements**: 8.1 eV per formula unit
**Crystal system**: tetragonal

Cell: 4.505 4.540 4.505 Å, 90.00 90.00 90.00°
Fractional positions:
Pt: 0.000 0.000 0.500
Os: 0.500 0.500 0.500
Zn: 0.000 0.000 0.000
Ir: 0.000 0.500 0.000
Pt: 0.500 0.000 0.000

Record 2
## PuIrOs (PBE)

Data for crystalline PuIrOs at its relaxed geometry.

Summary:
**N(E_F)**: 7.7 states/eV/f.u.
**Energy above the most stable polymorph in this dataset**: 0 meV/atom
**Energy of formation from the pure elements**: -1.0 eV per formula unit
**Crystal system**: orthorhombic

Cell: 5.207 5.377 5.377 Å, 60.47 61.04 61.04°
Fractional positions:
Pu: 0.874 0.376 0.376
Os: 0.500 0.000 0.000
Ir: 0.500 0.500 0.000
Os: 0.000 0.000 0.000
Ir: 0.500 0.000 0.500
Pu: 0.126 0.624 0.624

Number 2 is which compound?
PuIrOs

Which formula does entry 1 have?
ZnIrOsPt2